(1)
## Ba2YMo (PBE)

Data for crystalline Ba2YMo at its relaxed geometry.

```
data_Ba2YMo
_chemical_formula_sum 'Ba4 Y2 Mo2'
_cell_length_a 5.543
_cell_length_b 5.543
_cell_length_c 8.889
_cell_angle_alpha 90.00
_cell_angle_beta 90.00
_cell_angle_gamma 90.00
_symmetry_space_group_name_H-M 'I -4 m 2'
_symmetry_Int_Tables_number 119
_symmetry_space_group_name_Hall 'I -4 -2'
loop_
_atom_site_label
_atom_site_fract_x
_atom_site_fract_y
_atom_site_fract_z
Ba1 0.000 0.000 0.000
Ba2 0.000 0.500 0.250
Y1 0.000 0.000 0.500
Mo1 0.000 0.500 0.750
```

Results
The polymorph energy (0 for the lowest one) is 318 meV/atom. As for the energy of formation: 0.904 eV per atom.

(2)
## BaY2Mo2 (PBE)

Data for crystalline BaY2Mo2 at its relaxed geometry.

```
data_BaY2Mo2
_chemical_formula_sum 'Ba2 Y4 Mo4'
_cell_length_a 3.672
_cell_length_b 3.672
_cell_length_c 23.444
_cell_angle_alpha 90.00
_cell_angle_beta 90.00
_cell_angle_gamma 90.00
_symmetry_space_group_name_H-M 'I 4/m m m'
_symmetry_Int_Tables_number 139
_symmetry_space_group_name_Hall '-I 4 2'
loop_
_atom_site_label
_atom_site_fract_x
_atom_site_fract_y
_atom_site_fract_z
Ba1 0.000 0.000 0.000
Y1 0.000 0.000 0.356
Mo1 0.000 0.500 0.250
```

Results
The polymorph energy (0 for the lowest one) is 0 meV/atom. As for the energy of formation: 0.487 eV per atom.

Repeat the second record exactly.
## BaY2Mo2 (PBE)

Data for crystalline BaY2Mo2 at its relaxed geometry.

```
data_BaY2Mo2
_chemical_formula_sum 'Ba2 Y4 Mo4'
_cell_length_a 3.672
_cell_length_b 3.672
_cell_length_c 23.444
_cell_angle_alpha 90.00
_cell_angle_beta 90.00
_cell_angle_gamma 90.00
_symmetry_space_group_name_H-M 'I 4/m m m'
_symmetry_Int_Tables_number 139
_symmetry_space_group_name_Hall '-I 4 2'
loop_
_atom_site_label
_atom_site_fract_x
_atom_site_fract_y
_atom_site_fract_z
Ba1 0.000 0.000 0.000
Y1 0.000 0.000 0.356
Mo1 0.000 0.500 0.250
```

Results
The polymorph energy (0 for the lowest one) is 0 meV/atom. As for the energy of formation: 0.487 eV per atom.

- Which formula does entry 2 have?
  BaY2Mo2